Record 1
The following is a GGA-PBEsol calculation of a relaxed YCu2Ir crystal, from the Alexandria database.

Lattice parameters (Å, degrees): 3.9308 3.9308 4.8344 113.99 113.99 90.00
Closest atoms and distances in Å follow each position.
Sites, in units of the cell vectors:
Cu  0.7500  0.2500  0.5000  4 Cu 2.78, 4 Y 2.79, 4 Ir 2.79
Cu  0.2500  0.7500  0.5000  4 Cu 2.78, 4 Ir 2.79, 4 Y 2.79
Ir  0.0000  0.0000  0.0000  4 Y 2.78, 8 Cu 2.79
Y  0.5000  0.5000  0.0000  4 Ir 2.78, 8 Cu 2.79

- ΔE to the lowest computed polymorph (meV/atom) = 0
- crystal system = tetragonal

***

Record 2
The following is a GGA-PBEsol calculation of a relaxed CaAgRh2O crystal, from the Alexandria database.

Lattice parameters (Å, degrees): 4.0499 4.8651 4.8651 90.00 90.00 90.00
Closest atoms and distances in Å follow each position.
Sites, in units of the cell vectors:
Ca  0.0000  0.0000  0.0000  2 O 2.02
Rh  0.0000  0.0000  0.5000  2 Ca 2.43
Rh  0.0000  0.5000  0.0000  2 Ca 2.43
O  0.5000  0.0000  0.0000  2 Ca 2.02
Ag  0.5000  0.5000  0.5000  8 Rh 3.17, 4 O 3.44

- formation energy (no corrections) (meV/atom) = 1096.1
- crystal system = tetragonal

***

Record 3
The following is a GGA-PBEsol calculation of a relaxed TlFeAs2 crystal, from the Alexandria database.

Lattice parameters (Å, degrees): 3.1677 3.1669 7.4526 90.00 90.00 90.00
Closest atoms and distances in Å follow each position.
Sites, in units of the cell vectors:
As  0.0000  0.0000  0.0707  1 Fe 2.52
As  0.5000  0.5000  0.3029  4 Fe 2.38
Fe  0.0000  0.0000  0.4093  5 As 2.38-2.52
Tl  0.5000  0.5000  0.7171  1 As 3.09, 4 Tl 3.17, 4 Fe 3.21

- ΔE to the lowest computed polymorph (meV/atom) = 232
- crystal system = tetragonal

***

Record 4
The following is a GGA-PBEsol calculation of a relaxed Ba2RePb crystal, from the Alexandria database.

Lattice parameters (Å, degrees): 4.9932 4.9932 6.0049 114.57 114.57 90.00
Closest atoms and distances in Å follow each position.
Sites, in units of the cell vectors:
Pb  0.5000  0.5000  0.0000  8 Ba 3.48, 4 Re 3.53
Re  0.0000  0.0000  0.0000  8 Ba 3.48, 4 Pb 3.53
Ba  0.7500  0.2500  0.5000  4 Pb 3.48, 4 Re 3.48, 4 Ba 3.53
Ba  0.2500  0.7500  0.5000  4 Pb 3.48, 4 Re 3.48, 4 Ba 3.53

- E (eV per atom) = -4.582
- crystal system = tetragonal

***

Record 5
The following is a GGA-PBEsol calculation of a relaxed Si2NiAg crystal, from the Alexandria database.

Lattice parameters (Å, degrees): 2.9289 4.0547 4.8482 90.00 96.38 90.00
Closest atoms and distances in Å follow each position.
Sites, in units of the cell vectors:
Ag  0.5000  0.5000  0.5000  4 Si 2.53, 2 Ni 2.69
Ni  0.0000  0.5000  0.0000  4 Si 2.37
Si  0.7077  0.0000  0.7997  2 Ni 2.37, 2 Si 2.40-2.44, 2 Ag 2.53
Si  0.2923  0.0000  0.2003  2 Ni 2.37, 2 Si 2.40-2.44, 2 Ag 2.53

- ΔE to the lowest computed polymorph (meV/atom) = 117
- formation energy (no corrections) (meV/atom) = 108.0
- crystal system = monoclinic

***

Record 6
The following is a GGA-PBEsol calculation of a relaxed BaMgCd2 crystal, from the Alexandria database.

Lattice parameters (Å, degrees): 4.9262 4.9262 6.5404 67.88 67.88 60.00
Closest atoms and distances in Å follow each position.
Sites, in units of the cell vectors:
Mg  0.0000  0.0000  0.0000  6 Cd 2.91
Ba  0.5000  0.5000  0.5000  8 Cd 3.55-3.68
Cd  0.7010  0.7010  0.8969  3 Mg 2.91, 3 Cd 3.09
Cd  0.2990  0.2990  0.1031  3 Mg 2.91, 3 Cd 3.09

- E (eV per atom) = -1.772
- crystal system = trigonal

***

Record 7
The following is a GGA-PBEsol calculation of a relaxed Ba2SrRh crystal, from the Alexandria database.

Lattice parameters (Å, degrees): 3.8226 3.8226 10.7806 90.00 90.00 90.25
Closest atoms and distances in Å follow each position.
Sites, in units of the cell vectors:
Ba  0.0000  0.0000  0.3369  4 Rh 3.22-3.23, 1 Ba 3.52
Ba  0.0000  0.0000  0.6631  4 Rh 3.22-3.23, 1 Ba 3.52
Rh  0.5000  0.5000  0.5000  8 Ba 3.22-3.23
Sr  0.5000  0.5000  0.0000  4 Sr 3.82

- ΔE to the lowest computed polymorph (meV/atom) = 94
- crystal system = orthorhombic

***

Record 8
The following is a GGA-PBEsol calculation of a relaxed Ta3W crystal, from the Alexandria database.

Lattice parameters (Å, degrees): 4.5928 5.6102 5.6102 109.46 90.00 90.00
Closest atoms and distances in Å follow each position.
Sites, in units of the cell vectors:
W  0.2500  0.6264  0.3736  8 Ta 2.79-2.81
W  0.7500  0.3736  0.6264  8 Ta 2.79-2.81
Ta  0.7500  0.3803  0.1301  4 W 2.79-2.81, 4 Ta 2.80-2.83
Ta  0.7500  0.8781  0.1219  8 Ta 2.80-2.83
Ta  0.2500  0.1301  0.3803  4 W 2.79-2.81, 4 Ta 2.80-2.83
Ta  0.7500  0.8699  0.6197  4 W 2.79-2.81, 4 Ta 2.80-2.83
Ta  0.2500  0.1219  0.8781  8 Ta 2.80-2.83
Ta  0.2500  0.6197  0.8699  4 W 2.79-2.81, 4 Ta 2.80-2.83

- E (eV per atom) = -12.910
- crystal system = orthorhombic

***

Record 9
The following is a GGA-PBEsol calculation of a relaxed Pr2O3 crystal, from the Alexandria database.

Lattice parameters (Å, degrees): 3.7123 7.4229 9.0217 99.42 90.00 104.48
Closest atoms and distances in Å follow each position.
Sites, in units of the cell vectors:
Pr  0.9657  0.9315  0.1893  4 O 2.30-2.38
Pr  0.0343  0.0685  0.8107  4 O 2.30-2.38
Pr  0.3103  0.6205  0.8621  6 O 2.33-2.53
Pr  0.6347  0.2694  0.4892  6 O 2.35-2.59
Pr  0.3653  0.7306  0.5108  6 O 2.35-2.59
Pr  0.6897  0.3795  0.1379  6 O 2.33-2.53
O  0.1301  0.2602  0.2881  5 Pr 2.38-2.59
O  0.1756  0.3511  0.9748  4 Pr 2.30-2.36
O  0.4751  0.9502  0.3448  4 Pr 2.32-2.44
O  0.7997  0.5993  0.3705  3 Pr 2.35-2.40
O  0.8699  0.7398  0.7119  5 Pr 2.38-2.59
O  0.5000  0.0000  0.0000  6 Pr 2.62-2.80
O  0.5249  0.0498  0.6552  4 Pr 2.32-2.44
O  0.8244  0.6489  0.0252  4 Pr 2.30-2.36
O  0.2003  0.4007  0.6295  3 Pr 2.35-2.40

- formation energy (no corrections) (meV/atom) = -3319.0
- crystal system = monoclinic

***

Record 10
The following is a GGA-PBEsol calculation of a relaxed KLiTl2 crystal, from the Alexandria database.

Lattice parameters (Å, degrees): 3.8111 3.8111 8.2512 90.00 90.00 90.00
Closest atoms and distances in Å follow each position.
Sites, in units of the cell vectors:
Tl  0.0000  0.0000  0.9704  4 Li 2.91
Tl  0.5000  0.5000  0.2006  1 Li 2.99, 4 Tl 3.30
K  0.0000  0.0000  0.4906  5 Tl 3.60-3.96, 4 K 3.81, 4 Li 3.94
Li  0.5000  0.5000  0.8384  5 Tl 2.91-2.99

- ΔE to the lowest computed polymorph (meV/atom) = 46
- crystal system = tetragonal

***

Record 11
The following is a GGA-PBEsol calculation of a relaxed TcIr2Ru crystal, from the Alexandria database.

Lattice parameters (Å, degrees): 3.7989 3.7989 3.8231 90.00 90.00 90.00
Closest atoms and distances in Å follow each position.
Sites, in units of the cell vectors:
Ru  0.5000  0.5000  0.5000  4 Tc 2.69, 8 Ir 2.69
Ir  0.0000  0.5000  0.0000  4 Ir 2.69, 4 Ru 2.69, 4 Tc 2.69
Ir  0.5000  0.0000  0.0000  4 Ir 2.69, 4 Ru 2.69, 4 Tc 2.69
Tc  0.0000  0.0000  0.5000  4 Ru 2.69, 8 Ir 2.69

- ΔE to the lowest computed polymorph (meV/atom) = 0
- crystal system = tetragonal

***

Record 12
The following is a GGA-PBEsol calculation of a relaxed Y4AsSe3 crystal, from the Alexandria database.

Lattice parameters (Å, degrees): 5.7008 5.7008 6.9875 114.07 114.07 90.00
Closest atoms and distances in Å follow each position.
Sites, in units of the cell vectors:
Y  0.7441  0.7441  0.4882  1 As 2.79, 5 Se 2.85-2.92
Y  0.2559  0.2559  0.5118  1 As 2.79, 5 Se 2.85-2.92
Y  0.0000  0.5000  0.0000  4 Se 2.85, 2 As 2.85
Y  0.5000  0.0000  0.0000  2 As 2.85, 4 Se 2.85
As  0.5000  0.5000  0.0000  6 Y 2.79-2.85
Se  0.2500  0.7500  0.5000  6 Y 2.85
Se  0.7500  0.2500  0.5000  6 Y 2.85
Se  0.0000  0.0000  0.0000  6 Y 2.85-2.92

- formation energy (no corrections) (meV/atom) = -1830.2
- crystal system = tetragonal